a | Compound: KNa2HgSe
Source: the Alexandria database
Functional: PBE
Structure: optimized geometry

total magnetic moment = 0.000 μB/cell

abc: 5.562 5.562 6.396
angles: 90.00 90.00 90.00
Sites, in units of the cell vectors:
K 0.000 0.000 0.000
Na 0.000 0.500 0.500
Na 0.500 0.000 0.500
Hg 0.500 0.500 0.000
Se 0.000 0.000 0.500

b | Compound: KNa2HgSe
Source: the Alexandria database
Functional: PBE
Structure: optimized geometry

total magnetic moment = 0.710 μB/cell

abc: 5.391 5.391 7.584
angles: 90.00 90.00 90.00
Sites, in units of the cell vectors:
K 0.000 0.000 0.000
Na 0.000 0.500 0.500
Na 0.500 0.000 0.500
Hg 0.500 0.500 0.000
Se 0.500 0.500 0.500

Tell me which of them is the least stable. Sure, it is b.